1.
A plane-wave DFT calculation with meta-GGA SCAN was carried out for a crystal of RbZnPdPb2 relaxed with PBEsol.

a = 5.3238 Å, b = 5.9326 Å, c = 5.9326 Å
α = 90.00°, β = 90.00°, γ = 90.00°
Atoms (fractional coordinates):
Pb: 0.0000 0.0000 0.5000
Pb: 0.0000 0.5000 0.0000
Zn: 0.5000 0.0000 0.0000
Rb: 0.0000 0.0000 0.0000
Pd: 0.5000 0.5000 0.5000

Output
Its energy of formation from the pure elements is 1.589 eV per atom. The total magnetization comes out at 0.00 μB/atom. Its symmetry is No. 123. As for the mass density: 6.0 g/cm³.

2.
A plane-wave DFT calculation with meta-GGA SCAN was carried out for a crystal of Hg2PBr relaxed with PBEsol.

a = 3.7622 Å, b = 3.7622 Å, c = 7.0976 Å
α = 90.00°, β = 90.00°, γ = 90.00°
Atoms (fractional coordinates):
Br: 0.5000 0.5000 0.8043
Hg: 0.0000 0.0000 0.9968
Hg: 0.5000 0.5000 0.3570
P: 0.0000 0.0000 0.3419

Output
For the uncorrected formation energy, the calculation gives 12 meV/atom. The total magnetization comes out at 0.00 μB/atom. The calculation puts the energy above the most stable polymorph in this dataset at 182 meV per atom. Its symmetry is No. 99. As for the mass density: 8.5 g/cm³.

3.
A plane-wave DFT calculation with meta-GGA SCAN was carried out for a crystal of MnAsCl2 relaxed with PBEsol.

a = 3.3088 Å, b = 3.3118 Å, c = 8.6017 Å
α = 90.00°, β = 90.00°, γ = 119.97°
Last column: magnetic moment on the atom in μB.
Atoms (fractional coordinates):
As: 0.5000 0.0000 0.7186  -0.15
Mn: 0.0000 0.0000 0.5065  3.92
Cl: 0.0000 0.0000 0.9542  -0.02
Cl: 0.5000 0.0000 0.3207  0.09

Output
For the uncorrected formation energy, the calculation gives -353 meV/atom. The total magnetization comes out at 0.98 μB/atom. The calculation puts the energy above the most stable polymorph in this dataset at 223 meV per atom. Its symmetry is No. 35. As for the mass density: 4.1 g/cm³.